(1)
CsBiPt: relaxed, PBE-GGA.

energy above the most stable polymorph in this dataset = 13.4 kJ per mole of atoms

abc: 4.6591 4.6591 6.1069
angles: 90.00 90.00 120.00
Space group P-6m2 (No. 187)
One atom of each set of equivalent atoms:
Cs1 0.0000 0.0000 0.0000 (multiplicity 1)
Bi1 0.6667 0.3333 0.5000 (multiplicity 1)
Pt1 0.3333 0.6667 0.5000 (multiplicity 1)


(2)
CdAg4Au7: relaxed, PBE-GGA.

calculated total energy = -2.868 eV/atom

abc: 10.476 5.155 10.210
angles: 90.00 119.35 90.00
Space group C2/m (No. 12)
One atom of each set of equivalent atoms:
Cd1 0.000 0.000 0.000 (multiplicity 2)
Ag1 0.084 0.500 0.314 (multiplicity 4)
Ag2 0.180 0.000 0.772 (multiplicity 4)
Au1 0.000 0.500 0.000 (multiplicity 2)
Au2 0.116 0.000 0.465 (multiplicity 4)
Au3 0.165 0.500 0.622 (multiplicity 4)
Au4 0.210 0.500 0.915 (multiplicity 4)


(3)
Cs3Tb3PaS8: relaxed, PBE-GGA.

calculated total energy = -5.745 eV/atom

abc: 8.1743 8.1743 24.6294
angles: 90.00 90.00 120.00
Space group R-3m (No. 166, hexagonal axes)
One atom of each set of equivalent atoms:
Cs1 0.0000 0.5000 0.0000 (multiplicity 9)
Tb1 0.0000 0.5000 0.5000 (multiplicity 9)
Pa1 0.0000 0.0000 0.5000 (multiplicity 3)
S1 0.0000 0.0000 0.2266 (multiplicity 6)
S2 0.0047 0.5023 0.2259 (multiplicity 18)


(4)
TaTl2Ru: relaxed, PBE-GGA.

energy above the most stable polymorph in this dataset = 57.4 kJ per mole of atoms

abc: 6.751 6.751 6.751
angles: 90.00 90.00 90.00
Space group Fm-3m (No. 225)
One atom of each set of equivalent atoms:
Ta1 0.000 0.000 0.000 (multiplicity 4)
Tl1 0.250 0.250 0.250 (multiplicity 8)
Ru1 0.000 0.000 0.500 (multiplicity 4)


(5)
SrTl2F4: relaxed, PBE-GGA.

calculated total energy = -4.596 eV/atom

abc: 6.763 6.586 7.718
angles: 90.00 113.05 90.00
Space group P2_1/m (No. 11)
One atom of each set of equivalent atoms:
Sr1 0.114 0.250 0.144 (multiplicity 2)
Tl1 0.178 0.750 0.472 (multiplicity 2)
Tl2 0.440 0.250 0.856 (multiplicity 2)
F1 0.136 0.024 0.895 (multiplicity 4)
F2 0.160 0.250 0.471 (multiplicity 2)
F3 0.495 0.250 0.223 (multiplicity 2)


(6)
Ac14PmMg: relaxed, PBE-GGA.

calculated total energy = -3.977 eV/atom

abc: 11.174 11.099 11.099
angles: 90.00 90.00 90.00
Space group Amm2 (No. 38)
One atom of each set of equivalent atoms:
Ac1 0.000 0.000 0.000 (multiplicity 2)
Ac2 0.000 0.000 0.500 (multiplicity 2)
Ac3 0.000 0.249 0.250 (multiplicity 4)
Ac4 0.255 0.000 0.750 (multiplicity 4)
Ac5 0.256 0.250 0.000 (multiplicity 8)
Ac6 0.257 0.000 0.249 (multiplicity 4)
Ac7 0.500 0.249 0.750 (multiplicity 4)
Pm1 0.500 0.000 0.500 (multiplicity 2)
Mg1 0.500 0.000 0.000 (multiplicity 2)


(7)
Nb4Re3W2: relaxed, PBE-GGA.

calculated total energy = -11.662 eV/atom

abc: 4.5393 4.5393 8.3431
angles: 90.00 90.00 120.00
Space group P-3m1 (No. 164)
One atom of each set of equivalent atoms:
Nb1 0.0000 0.0000 0.1675 (multiplicity 2)
Nb2 0.3333 0.6667 0.3878 (multiplicity 2)
Re1 0.0000 0.0000 0.5000 (multiplicity 1)
Re2 0.3333 0.6667 0.0493 (multiplicity 2)
W1 0.3333 0.6667 0.7272 (multiplicity 2)


(8)
Cu2TcI: relaxed, PBE-GGA.

energy above the most stable polymorph in this dataset = 42.7 kJ per mole of atoms

abc: 12.270 3.424 3.403
angles: 90.00 90.17 90.00
Space group Cm (No. 8)
One atom of each set of equivalent atoms:
Cu1 0.000 0.000 0.000 (multiplicity 2)
Cu2 0.007 0.500 0.500 (multiplicity 2)
Tc1 0.166 0.000 0.503 (multiplicity 2)
I1 0.277 0.500 0.005 (multiplicity 2)


no.,DOS(E_F) (states/eV/atom)
1,0.908
2,0.237
3,0.250
4,1.403
5,0.000
6,1.362
7,0.452
8,0.303